(P)
Compound: Te2Cl
Source: Alexandria
Functional: PBE-GGA
Structure: optimized geometry

Values from the calculation:
The magnetic moment is 0.00 μB per formula unit.

Unit cell a=7.1756 b=7.1756 c=8.2775 alpha=107.22 beta=107.22 gamma=25.54
Atoms (fractional coordinates):
Te 0.1180 0.1180 0.0726
Te 0.1434 0.1434 0.7437
Te 0.8566 0.8566 0.2563
Te 0.8820 0.8820 0.9274
Cl 0.3955 0.3955 0.6352
Cl 0.6045 0.6045 0.3648

=====

(Q)
Compound: Te2Cl
Source: Alexandria
Functional: PBE-GGA
Structure: optimized geometry

Values from the calculation:
The magnetic moment is 0.00 μB per formula unit.

Unit cell a=12.4448 b=12.4448 c=4.0014 alpha=90.00 beta=90.00 gamma=163.07
Atoms (fractional coordinates):
Te 0.0402 0.9598 0.7500
Te 0.2783 0.7217 0.2500
Te 0.7217 0.2783 0.7500
Te 0.9598 0.0402 0.2500
Cl 0.3783 0.6217 0.7500
Cl 0.6217 0.3783 0.2500

=====

Verdict on stability: (P) comes out at the bottom.

=====

(P)
Compound: InMo2As
Source: Alexandria
Functional: PBE-GGA
Structure: optimized geometry

Values from the calculation:
The magnetic moment is 0.00 μB per formula unit.

Unit cell a=8.7100 b=8.7100 c=8.7100 alpha=20.25 beta=20.25 gamma=20.25
Atoms (fractional coordinates):
In 0.0000 0.0000 0.0000
Mo 0.2412 0.2412 0.2412
Mo 0.7588 0.7588 0.7588
As 0.5000 0.5000 0.5000

=====

(Q)
Compound: InMo2As
Source: Alexandria
Functional: PBE-GGA
Structure: optimized geometry

Values from the calculation:
The magnetic moment is 0.00 μB per formula unit.

Unit cell a=5.1088 b=5.1088 c=5.1088 alpha=133.61 beta=133.61 gamma=67.70
Atoms (fractional coordinates):
In 0.0000 0.0000 0.0000
Mo 0.2500 0.7500 0.5000
Mo 0.5000 0.5000 0.0000
As 0.7500 0.2500 0.5000

=====

Verdict on stability: (Q) comes out at the bottom.